Material: Ti8Pd2C3
Method: DFT, PBE-GGA
State: relaxed

POSCAR file:
```
Ti8Pd2C3
1.0
5.5856 0.0000 0.2026
0.0000 6.1889 0.0000
-2.0269 -3.0944 5.6993
Ti Pd C
8 2 3
Direct
0.6167 0.1442 0.8098
0.6167 0.6656 0.8098
0.0275 0.3888 0.7776
0.3833 0.3344 0.1902
0.3833 0.8558 0.1902
0.1048 0.9008 0.8015
0.9725 0.6112 0.2224
0.8952 0.0992 0.1985
0.6768 0.7341 0.4682
0.3232 0.2659 0.5317
0.0000 0.7552 0.0000
0.5000 0.0000 0.0000
0.0000 0.2448 0.0000
```

Results
Total energy ... -8.195 eV per atom

***

Material: NiSCl
Method: DFT, PBE-GGA
State: relaxed

POSCAR file:
```
NiSCl
1.0
3.2922 0.0000 0.0000
0.0000 8.9990 0.0000
0.0000 0.0000 8.9990
S Cl Ni
4 4 4
Direct
0.5000 0.2726 0.4411
0.0000 0.5589 0.2726
0.0000 0.4411 0.7274
0.5000 0.7274 0.5589
0.0000 0.1194 0.7292
0.5000 0.7292 0.8806
0.5000 0.2708 0.1194
0.0000 0.8806 0.2708
0.0000 0.6866 0.7099
0.5000 0.2901 0.6866
0.5000 0.7099 0.3134
0.0000 0.3134 0.2901
```

Results
Total energy ... -4.269 eV per atom
Formation energy without anion corrections ... -351 meV per atom

***

Material: LiHgCl2
Method: DFT, PBE-GGA
State: relaxed

POSCAR file:
```
LiHgCl2
1.0
7.9271 0.0925 0.0000
5.9745 5.2108 0.0000
-6.9508 -2.6516 2.7390
Cl Hg Li
2 1 1
Direct
0.0000 0.0000 0.0000
0.2500 0.7500 0.5000
0.5000 0.5000 0.0000
0.7500 0.2500 0.5000
```

Results
Total energy ... -2.333 eV per atom
ΔE to the lowest computed polymorph ... 98 meV/atom
Formation energy without anion corrections ... -856 meV per atom

***

Material: Tb6Nd3Er2Tm
Method: DFT, PBE-GGA
State: relaxed

POSCAR file:
```
Tb6Nd3Er2Tm
1.0
-0.8286 1.1651 6.0280
5.3132 -2.5061 -1.9674
3.0040 11.1107 -2.7940
Er Tm Tb Nd
2 1 6 3
Direct
0.3334 0.6666 0.0000
0.6666 0.3334 0.0000
0.0000 0.0000 0.0000
0.5848 0.9180 0.7551
0.9180 0.5848 0.7551
0.0820 0.4152 0.2449
0.2511 0.2511 0.7549
0.7489 0.7489 0.2451
0.4152 0.0820 0.2449
0.5000 0.5000 0.5000
0.1667 0.8333 0.5000
0.8333 0.1667 0.5000
```

Results
Total energy ... -4.621 eV per atom

***

Material: NaScSi
Method: DFT, PBE-GGA
State: relaxed

POSCAR file:
```
NaScSi
1.0
6.7278 -0.3081 0.6743
0.2090 3.9965 -0.0350
-0.9554 0.1007 5.9103
Si Sc Na
2 2 2
Direct
0.5493 0.9682 0.7970
0.5444 0.9680 0.3821
0.4871 0.4687 0.0852
0.7361 0.4661 0.6008
0.9628 0.9689 0.0996
0.2428 0.4728 0.5731
```

Results
Total energy ... -4.471 eV per atom
Formation energy without anion corrections ... -113 meV per atom

***

Material: Bi2PtCS
Method: DFT, PBE-GGA
State: relaxed

POSCAR file:
```
Bi2PtCS
1.0
-3.9516 3.0565 2.6103
-2.2343 -0.3151 -3.0134
-2.2281 -4.7124 2.1448
Bi C Pt S
2 1 1 1
Direct
0.0000 0.0000 0.5000
0.5000 0.0000 0.0000
0.0000 0.5000 0.0000
0.0000 0.0000 0.0000
0.5000 0.5000 0.5000
```

Results
Total energy ... -4.846 eV per atom
Formation energy without anion corrections ... 585 meV per atom

***

Material: Cs2NpCu2I6
Method: DFT, PBE-GGA
State: relaxed

POSCAR file:
```
Cs2NpCu2I6
1.0
8.5813 0.0000 0.0000
-4.2907 7.4530 -0.3073
0.0000 -4.6168 7.7679
I Cs Cu Np
6 2 2 1
Direct
0.7078 0.9198 0.2095
0.2514 0.5027 0.3325
0.2120 0.9198 0.2095
0.2922 0.0802 0.7905
0.7880 0.0802 0.7905
0.7486 0.4973 0.6675
0.2668 0.5336 0.7778
0.7332 0.4664 0.2222
0.0414 0.0829 0.1634
0.9586 0.9171 0.8366
0.5000 0.0000 0.5000
```

Results
Total energy ... -3.669 eV per atom
Formation energy without anion corrections ... -748 meV per atom

***

Material: Ca2Dy3Tl4
Method: DFT, PBE-GGA
State: relaxed

POSCAR file:
```
Ca2Dy3Tl4
1.0
-4.9372 5.2312 -1.0355
-4.5235 -5.4137 -5.7812
-2.1027 -5.6580 6.9435
Dy Ca Tl
6 4 8
Direct
0.9666 0.2500 0.4332
0.0000 0.0000 0.0000
0.0334 0.7500 0.5668
0.5000 0.5000 0.0000
0.4666 0.2500 0.4332
0.5334 0.7500 0.5668
0.1094 0.5783 0.2187
0.6094 0.9217 0.2187
0.3906 0.0783 0.7813
0.8906 0.4217 0.7813
0.2140 0.7500 0.9281
0.7860 0.2500 0.0719
0.8138 0.0368 0.6276
0.3138 0.4632 0.6276
0.2860 0.2500 0.0719
0.7140 0.7500 0.9281
0.1862 0.9632 0.3724
0.6862 0.5368 0.3724
```

Results
Total energy ... -3.249 eV per atom

***

Quick rundown of N(E_F), same order as above: 0.746, 0.785, 0.220, 1.334, 0.824, 0.433, 0.710, 0.915 states/eV/atom